[1]
{"formula": "AcLuInSn", "functional": "PBE", "state": "relaxed", "cell": [[5.547, 0.000, 0.000], [2.773, 4.804, 0.000], [2.773, 1.601, 4.529]], "species": ["Sn", "Lu", "In", "Ac"], "fractional_positions": [[0.250, 0.250, 0.250], [0.000, 0.000, 0.000], [0.750, 0.750, 0.750], [0.500, 0.500, 0.500]], "sg": "F-43m", "e_tot_ev_per_cell": -17.08, "n_ef_per_ev_cell": 3.33, "formation_enthalpy_0k_kj_per_mol_atoms": -41}

---

[2]
{"formula": "AcTbLuIn", "functional": "PBE", "state": "relaxed", "cell": [[-2.189, -5.133, 0.061], [2.298, -4.050, -3.077], [2.746, -4.175, 2.485]], "species": ["Tb", "In", "Lu", "Ac"], "fractional_positions": [[0.000, 0.000, 0.000], [0.250, 0.250, 0.250], [0.500, 0.500, 0.500], [0.750, 0.750, 0.750]], "sg": "F-43m", "e_tot_ev_per_cell": -16.02, "n_ef_per_ev_cell": 7.40, "formation_enthalpy_0k_kj_per_mol_atoms": 0}

---

[3]
{"formula": "AcYLuIn", "functional": "PBE", "state": "relaxed", "cell": [[5.589, 0.000, 0.000], [2.795, 4.841, 0.000], [2.795, 1.614, 4.564]], "species": ["Lu", "Ac", "In", "Y"], "fractional_positions": [[0.750, 0.750, 0.750], [0.500, 0.500, 0.500], [0.000, 0.000, 0.000], [0.250, 0.250, 0.250]], "sg": "F-43m", "e_tot_ev_per_cell": -17.87, "n_ef_per_ev_cell": 6.52, "formation_enthalpy_0k_kj_per_mol_atoms": -1}

---

[4]
{"formula": "AcMg3In4", "functional": "PBE", "state": "relaxed", "cell": [[-1.342, -2.842, -4.046], [1.607, -6.694, 4.169], [-9.677, -0.225, 3.369]], "species": ["Mg", "Mg", "Mg", "Mg", "Mg", "Mg", "In", "In", "In", "In", "In", "In", "In", "In", "Ac", "Ac"], "fractional_positions": [[0.000, 0.000, 0.500], [0.000, 0.000, 0.000], [0.500, 0.500, 0.250], [0.500, 0.500, 0.750], [0.501, 0.000, 0.750], [0.499, 0.000, 0.250], [0.999, 0.219, 0.250], [0.500, 0.781, 0.500], [0.999, 0.781, 0.250], [0.001, 0.781, 0.750], [0.500, 0.219, 0.500], [0.500, 0.219, 0.000], [0.001, 0.219, 0.750], [0.500, 0.781, 0.000], [0.000, 0.500, 0.500], [0.000, 0.500, 0.000]], "sg": "Pmma", "e_tot_ev_per_cell": -43.01, "n_ef_per_ev_cell": 6.56, "formation_enthalpy_0k_kj_per_mol_atoms": -20}

---

[5]
{"formula": "Ac14MgIn", "functional": "PBE", "state": "relaxed", "cell": [[-1.342, -7.287, 2.324], [4.826, 1.022, 5.997], [-8.531, 3.566, 6.258]], "species": ["Ac", "Ac", "Ac", "Ac", "Ac", "Ac", "Ac", "Ac", "Ac", "Ac", "Ac", "Ac", "Ac", "Ac", "In", "Mg"], "fractional_positions": [[0.375, 0.125, 0.500], [0.374, 0.124, 0.000], [0.124, 0.374, 0.242], [0.626, 0.374, 0.759], [0.124, 0.876, 0.242], [0.124, 0.374, 0.758], [0.875, 0.625, 0.500], [0.375, 0.625, 0.500], [0.626, 0.876, 0.242], [0.876, 0.626, 0.000], [0.626, 0.876, 0.758], [0.875, 0.125, 0.500], [0.124, 0.876, 0.758], [0.626, 0.374, 0.241], [0.875, 0.125, 0.000], [0.375, 0.625, 0.000]], "sg": "Amm2", "e_tot_ev_per_cell": -62.32, "n_ef_per_ev_cell": 20.32, "formation_enthalpy_0k_kj_per_mol_atoms": -3}

---

[6]
{"formula": "Ac3Mg3In2", "functional": "PBE", "state": "relaxed", "cell": [[6.562, 0.000, 0.000], [0.000, 9.294, 0.000], [0.000, 0.000, 17.121]], "species": ["Mg", "Mg", "Mg", "Mg", "Mg", "Mg", "Mg", "Mg", "Mg", "Mg", "Mg", "Mg", "In", "In", "In", "In", "In", "In", "In", "In", "Ac", "Ac", "Ac", "Ac", "Ac", "Ac", "Ac", "Ac", "Ac", "Ac", "Ac", "Ac"], "fractional_positions": [[0.381, 0.673, 0.250], [0.619, 0.327, 0.750], [0.605, 0.318, 0.034], [0.105, 0.182, 0.966], [0.895, 0.818, 0.034], [0.395, 0.682, 0.534], [0.881, 0.827, 0.750], [0.395, 0.682, 0.966], [0.105, 0.182, 0.534], [0.895, 0.818, 0.466], [0.605, 0.318, 0.466], [0.119, 0.173, 0.250], [0.627, 0.605, 0.108], [0.873, 0.105, 0.392], [0.127, 0.895, 0.892], [0.873, 0.105, 0.108], [0.373, 0.395, 0.608], [0.627, 0.605, 0.392], [0.127, 0.895, 0.608], [0.373, 0.395, 0.892], [0.117, 0.458, 0.389], [0.879, 0.819, 0.250], [0.117, 0.458, 0.111], [0.383, 0.958, 0.111], [0.883, 0.542, 0.889], [0.883, 0.542, 0.611], [0.617, 0.042, 0.611], [0.383, 0.958, 0.389], [0.379, 0.681, 0.750], [0.621, 0.319, 0.250], [0.121, 0.181, 0.750], [0.617, 0.042, 0.889]], "sg": "Pnma", "e_tot_ev_per_cell": -97.82, "relative_energy_mev_per_atom": 23, "n_ef_per_ev_cell": 33.68, "formation_enthalpy_0k_kj_per_mol_atoms": -23}

---

Number 1: mass density 8.74 g/cm³. Number 2: mass density 9.13 g/cm³. Number 3: mass density 8.15 g/cm³. Number 4: mass density 5.97 g/cm³. Number 5: mass density 8.18 g/cm³. Number 6: mass density 6.26 g/cm³.